No. 1
## NiSb2PI (GGA-PBE)

Data for a geometry-optimized NiSb2PI structure.

E in eV per cell: -15.68
ρ in g/cm³: 5.36
Crystal system: tetragonal

Structure (POSCAR):
```
NiSb2PI
1.0
5.224 0.000 0.000
0.000 5.224 0.000
0.000 0.000 5.226
I Sb P Ni
1 2 1 1
Direct
0.000 0.000 0.500
0.000 0.500 0.000
0.500 0.000 0.000
0.000 0.000 0.000
0.500 0.500 0.500
```


No. 2
## NiSbPI2 (GGA-PBE)

Data for a geometry-optimized NiSbPI2 structure.

E in eV per cell: -14.90
ρ in g/cm³: 5.84
Crystal system: tetragonal

Structure (POSCAR):
```
NiSbPI2
1.0
5.133 0.000 0.000
0.000 5.133 0.000
0.000 0.000 5.019
I Sb P Ni
2 1 1 1
Direct
0.000 0.500 0.000
0.500 0.000 0.000
0.000 0.000 0.500
0.500 0.500 0.500
0.000 0.000 0.000
```


No. 3
## NiSbPI2 (GGA-PBE)

Data for a geometry-optimized NiSbPI2 structure.

E in eV per cell: -13.44
ρ in g/cm³: 4.98
Crystal system: tetragonal

Structure (POSCAR):
```
NiSbPI2
1.0
5.353 0.000 0.000
0.000 5.353 0.000
0.000 0.000 5.409
I Sb P Ni
2 1 1 1
Direct
0.000 0.500 0.000
0.500 0.000 0.000
0.000 0.000 0.500
0.000 0.000 0.000
0.500 0.500 0.500
```


No. 4
## NiSb2PI (GGA-PBE)

Data for a geometry-optimized NiSb2PI structure.

E in eV per cell: -17.60
ρ in g/cm³: 6.06
Crystal system: tetragonal

Structure (POSCAR):
```
NiSb2PI
1.0
4.992 0.000 0.000
0.000 4.992 0.000
0.000 0.000 5.063
I Sb P Ni
1 2 1 1
Direct
0.000 0.000 0.500
0.000 0.500 0.000
0.500 0.000 0.000
0.500 0.500 0.500
0.000 0.000 0.000
```


Q: Which energy relative to the elements, uncorrected values were calculated for the entries above? A: 1.06, 0.70, 1.00, 0.68, in eV per atom.